Entry from Alexandria via LeMat-Bulk: a crystal of ZnFeSi3 relaxed with PBEsol (meta-GGA SCAN).

Space group   Pm-3m, No. 221
Density of states at the Fermi level   4.54 states/eV/cell
Raw formation energy   0.51 eV/atom

a = 4.323 Å, b = 4.323 Å, c = 4.323 Å
α = 90.00°, β = 90.00°, γ = 90.00°
Fractional positions:
Zn 0.500 0.500 0.500
Si 0.000 0.500 0.000
Si 0.000 0.000 0.500
Si 0.500 0.000 0.000
Fe 0.000 0.000 0.000

=====

Entry from Alexandria via LeMat-Bulk: a crystal of Zn2FeSi relaxed with PBEsol (meta-GGA SCAN).

Space group   I-4m2, No. 119
Density of states at the Fermi level   1.02 states/eV/cell
Raw formation energy   0.04 eV/atom

a = 3.623 Å, b = 3.623 Å, c = 4.491 Å
α = 113.79°, β = 113.79°, γ = 90.00°
Fractional positions:
Fe 0.500 0.500 0.000
Si 0.750 0.250 0.500
Zn 0.000 0.000 0.000
Zn 0.250 0.750 0.500

=====

Entry from Alexandria via LeMat-Bulk: a crystal of ZnFeSi2 relaxed with PBEsol (meta-GGA SCAN).

Space group   P4mm, No. 99
Density of states at the Fermi level   1.41 states/eV/cell
Raw formation energy   0.12 eV/atom

a = 3.199 Å, b = 3.199 Å, c = 4.822 Å
α = 90.00°, β = 90.00°, γ = 90.00°
Fractional positions:
Fe 0.500 0.500 0.774
Si 0.000 0.000 0.980
Si 0.500 0.500 0.253
Zn 0.000 0.000 0.493

=====

Entry from Alexandria via LeMat-Bulk: a crystal of ZnFeSi2 relaxed with PBEsol (meta-GGA SCAN).

Space group   Pm, No. 6
Density of states at the Fermi level   1.99 states/eV/cell
Raw formation energy   0.19 eV/atom

a = 2.930 Å, b = 3.997 Å, c = 4.587 Å
α = 90.00°, β = 108.97°, γ = 90.00°
Fractional positions:
Fe 0.691 0.500 0.756
Si 0.815 0.000 0.003
Si 0.413 0.500 0.195
Zn 0.081 0.000 0.546

=====

Entry from Alexandria via LeMat-Bulk: a crystal of ZnFeSi2 relaxed with PBEsol (meta-GGA SCAN).

Space group   P4/mmm, No. 123
Density of states at the Fermi level   1.40 states/eV/cell
Raw formation energy   0.33 eV/atom

a = 3.547 Å, b = 3.663 Å, c = 3.663 Å
α = 90.00°, β = 90.00°, γ = 90.00°
Fractional positions:
Fe 0.500 0.000 0.000
Si 0.000 0.000 0.500
Si 0.000 0.500 0.000
Zn 0.500 0.500 0.500

=====

Entry from Alexandria via LeMat-Bulk: a crystal of ZnFeSi2 relaxed with PBEsol (meta-GGA SCAN).

Space group   I4/mmm, No. 139
Density of states at the Fermi level   0.67 states/eV/cell
Raw formation energy   0.24 eV/atom

a = 3.684 Å, b = 3.684 Å, c = 4.363 Å
α = 114.97°, β = 114.97°, γ = 90.00°
Fractional positions:
Fe 0.000 0.000 0.000
Si 0.250 0.750 0.500
Si 0.750 0.250 0.500
Zn 0.500 0.500 0.000

=====

Entry from Alexandria via LeMat-Bulk: a crystal of Zr4Fe4Si7 relaxed with PBEsol (meta-GGA SCAN).

Space group   I4/mmm, No. 139
Density of states at the Fermi level   13.05 states/eV/cell
Raw formation energy   -0.72 eV/atom

a = 4.998 Å, b = 9.464 Å, c = 9.464 Å
α = 86.00°, β = 74.69°, γ = 74.69°
Fractional positions:
Fe 0.102 0.500 0.796
Fe 0.398 0.500 0.204
Fe 0.602 0.796 0.500
Fe 0.898 0.204 0.500
Fe 0.898 0.500 0.204
Fe 0.602 0.500 0.796
Fe 0.398 0.204 0.500
Fe 0.102 0.796 0.500
Si 0.711 0.000 0.579
Si 0.289 0.000 0.421
Si 0.711 0.579 0.000
Si 0.289 0.421 0.000
Si 0.000 0.698 0.302
Si 0.000 0.302 0.698
Si 0.698 0.302 0.302
Si 0.302 0.698 0.698
Si 0.500 0.592 0.408
Si 0.500 0.408 0.592
Si 0.092 0.408 0.408
Si 0.908 0.592 0.592
Si 0.750 0.000 0.000
Si 0.250 0.000 0.000
Zr 0.862 0.000 0.277
Zr 0.138 0.000 0.723
Zr 0.862 0.277 0.000
Zr 0.138 0.723 0.000
Zr 0.500 0.197 0.803
Zr 0.500 0.803 0.197
Zr 0.697 0.803 0.803
Zr 0.303 0.197 0.197

=====

Entry from Alexandria via LeMat-Bulk: a crystal of Zr3Fe2Si3 relaxed with PBEsol (meta-GGA SCAN).

Space group   Cmcm, No. 63
Density of states at the Fermi level   12.33 states/eV/cell
Raw formation energy   -0.74 eV/atom

a = 3.809 Å, b = 5.333 Å, c = 12.854 Å
α = 90.00°, β = 90.00°, γ = 110.92°
Fractional positions:
Fe 0.778 0.557 0.081
Fe 0.222 0.443 0.581
Fe 0.778 0.557 0.419
Fe 0.222 0.443 0.919
Si 0.613 0.226 0.543
Si 0.387 0.774 0.043
Si 0.613 0.226 0.957
Si 0.387 0.774 0.457
Si 0.333 0.665 0.750
Si 0.667 0.335 0.250
Zr 0.922 0.844 0.614
Zr 0.078 0.156 0.114
Zr 0.922 0.844 0.886
Zr 0.078 0.156 0.386
Zr 0.635 0.271 0.750
Zr 0.365 0.729 0.250

=====

| no. | uncorrected energy (eV/atom) |
| --- | --- |
| 1 | -11.833 |
| 2 | -13.759 |
| 3 | -12.795 |
| 4 | -12.733 |
| 5 | -12.592 |
| 6 | -12.680 |
| 7 | -18.414 |
| 8 | -20.545 |